A relaxed structure of VNi5Pt8. Source: Alexandria, functional PBE.

a = 6.429 Å, b = 6.429 Å, c = 6.429 Å
α = 110.05°, β = 108.33°, γ = 110.05°
Each line ends with the local moment (μB).
Positions (direct):
1 V 0.250 0.500 0.750  -0.38
2 Ni 0.027 0.312 0.116  0.48
3 Ni 0.884 0.912 0.196  0.48
4 Ni 0.804 0.688 0.715  0.48
5 Ni 0.500 0.000 0.500  0.66
6 Ni 0.285 0.088 0.973  0.48
7 Pt 0.145 0.713 0.061  0.15
8 Pt 0.939 0.084 0.651  0.15
9 Pt 0.751 0.266 0.351  0.15
10 Pt 0.649 0.400 0.915  0.15
11 Pt 0.515 0.600 0.249  0.15
12 Pt 0.568 0.916 0.855  0.15
13 Pt 0.349 0.287 0.432  0.15
14 Pt 0.085 0.734 0.485  0.15

Output
* space group: I-4, No. 82

A relaxed structure of Ca2NdIn. Source: Alexandria, functional PBE.

a = 3.608 Å, b = 3.608 Å, c = 10.166 Å
α = 90.00°, β = 90.00°, γ = 90.00°
Positions (direct):
1 Ca 0.000 0.000 0.787
2 Ca 0.000 0.000 0.213
3 Nd 0.500 0.500 0.500
4 In 0.500 0.500 0.000

Output
* energy relative to the lowest polymorph listed for this composition: 59 meV/atom
* space group: P4/mmm, No. 123

A relaxed structure of Tb2Sc3Pd2. Source: Alexandria, functional PBE.

a = 3.597 Å, b = 6.220 Å, c = 8.587 Å
α = 115.70°, β = 90.00°, γ = 106.81°
Positions (direct):
1 Tb 0.851 0.702 0.193
2 Tb 0.149 0.298 0.807
3 Sc 0.500 0.000 0.000
4 Sc 0.614 0.228 0.442
5 Sc 0.386 0.772 0.558
6 Pd 0.837 0.674 0.764
7 Pd 0.163 0.326 0.236

Output
* space group: C2/m, No. 12

A relaxed structure of Sr4CrFe. Source: Alexandria, functional PBE.

a = 7.044 Å, b = 7.044 Å, c = 7.044 Å
α = 60.00°, β = 60.00°, γ = 60.00°
Each line ends with the local moment (μB).
Positions (direct):
1 Sr 0.876 0.375 0.375  -0.06
2 Sr 0.375 0.375 0.876  -0.06
3 Sr 0.375 0.876 0.375  -0.06
4 Sr 0.375 0.375 0.375  -0.06
5 Cr 0.750 0.750 0.750  -4.12
6 Fe 0.000 0.000 0.000  3.22

Output
* space group: F-43m, No. 216

A relaxed structure of Dy2MgB2Ir5. Source: Alexandria, functional PBE.

a = 3.125 Å, b = 9.761 Å, c = 9.761 Å
α = 90.00°, β = 90.00°, γ = 90.00°
Positions (direct):
1 Dy 0.000 0.678 0.178
2 Dy 0.000 0.322 0.822
3 Dy 0.000 0.178 0.322
4 Dy 0.000 0.822 0.678
5 Mg 0.000 0.000 0.000
6 Mg 0.000 0.500 0.500
7 B 0.000 0.122 0.622
8 B 0.000 0.878 0.378
9 B 0.000 0.622 0.878
10 B 0.000 0.378 0.122
11 Ir 0.500 0.224 0.068
12 Ir 0.500 0.776 0.932
13 Ir 0.500 0.068 0.776
14 Ir 0.500 0.724 0.432
15 Ir 0.500 0.932 0.224
16 Ir 0.500 0.276 0.568
17 Ir 0.500 0.568 0.724
18 Ir 0.500 0.432 0.276
19 Ir 0.500 0.500 0.000
20 Ir 0.500 0.000 0.500

Output
* space group: P4/mbm, No. 127

A relaxed structure of Na2OsRuPt. Source: Alexandria, functional PBE.

a = 4.984 Å, b = 4.551 Å, c = 4.984 Å
α = 90.00°, β = 90.00°, γ = 90.00°
Each line ends with the local moment (μB).
Positions (direct):
1 Ru 0.000 0.000 0.000  0.40
2 Os 0.000 0.500 0.000  0.79
3 Pt 0.500 0.500 0.500  0.07
4 Na 0.000 0.000 0.500  0.00
5 Na 0.500 0.000 0.000  0.00

Output
* space group: P4/mmm, No. 123

no.,total energy (eV/cell),DFT formation energy (meV per atom)
1,-85.918,31
2,-12.248,-185
3,-42.246,-515
4,-17.522,1215
5,-150.858,-697
6,-21.175,1602